1.
Below is a relaxed TaS2Br5 crystal, with properties calculated at the PBE-GGA level.

Lattice parameters (Å, degrees): 7.650 7.684 8.050 89.41 64.72 61.34
Element x y z (fractional)
Ta  0.000  0.000  0.000
S  0.146  0.426  0.493
S  0.857  0.558  0.503
Br  0.006  0.314  0.998
Br  0.207  0.903  0.647
Br  0.311  0.690  0.003
Br  0.683  0.998  0.999
Br  0.793  0.096  0.354

The value obtained for the total energy is -32.82 eV/f.u. As for the symmetry: P1, No. 1. Its crystal system is triclinic. For the uncorrected formation energy, the calculation gives -52 kJ/mol of atoms.

=====

2.
Below is a relaxed CsGa2SiC crystal, with properties calculated at the PBE-GGA level.

Lattice parameters (Å, degrees): 4.767 4.767 7.231 90.00 90.00 90.00
Element x y z (fractional)
Cs  0.000  0.000  0.000
Ga  0.000  0.500  0.500
Ga  0.500  0.000  0.500
Si  0.000  0.000  0.500
C  0.500  0.500  0.000

The value obtained for the total energy is -14.61 eV/f.u. As for the symmetry: P4/mmm, No. 123. Its crystal system is tetragonal. For the uncorrected formation energy, the calculation gives 134 kJ/mol of atoms.

=====

3.
Below is a relaxed LaEr8Cd6 crystal, with properties calculated at the PBE-GGA level.

Lattice parameters (Å, degrees): 8.186 8.186 8.186 66.65 66.65 66.65
Element x y z (fractional)
La  0.000  0.000  0.000
Er  0.120  0.442  0.786
Er  0.214  0.880  0.558
Er  0.331  0.331  0.331
Er  0.442  0.786  0.120
Er  0.558  0.214  0.880
Er  0.669  0.669  0.669
Er  0.786  0.120  0.442
Er  0.880  0.558  0.214
Cd  0.054  0.709  0.397
Cd  0.291  0.603  0.946
Cd  0.397  0.054  0.709
Cd  0.603  0.946  0.291
Cd  0.709  0.397  0.054
Cd  0.946  0.291  0.603

The value obtained for the total energy is -47.69 eV/f.u. As for the symmetry: R-3, No. 148. Its crystal system is trigonal.